FeWBr2 | GGA-PBE | relaxed

Calculated values
- Polymorph energy (0 for the lowest one): 0.275 eV per atom
- Uncorrected formation energy: 405 meV/atom
- Total magnetization: 0.406 μB/atom
- SG: P4mm (99)

Cell and atoms, written as POSCAR:
```
FeWBr2
1.0
-2.6348 1.5523 -0.4108
-0.4713 0.0070 3.0493
4.3116 7.4900 0.6492
Fe Br W
1 2 1
Direct
0.0000 0.0000 0.5335
0.0000 0.0000 0.9149
0.5000 0.5000 0.3432
0.5000 0.5000 0.7084
```

---

FeWBr2 | GGA-PBE | relaxed

Calculated values
- Polymorph energy (0 for the lowest one): 1.061 eV per atom
- Uncorrected formation energy: 1191 meV/atom
- Total magnetization: 0.349 μB/atom
- SG: P4/mmm (123)

Cell and atoms, written as POSCAR:
```
FeWBr2
1.0
-0.2844 2.6578 -1.8007
-3.2103 -0.2347 0.1607
0.0027 3.6108 5.3290
W Fe Br
1 1 2
Direct
0.5000 0.5000 0.7500
0.5000 0.5000 0.2500
0.0000 0.0000 0.4961
0.0000 0.0000 0.0039
```

---

FeWBr2 | GGA-PBE | relaxed

Calculated values
- Polymorph energy (0 for the lowest one): 0.462 eV per atom
- Uncorrected formation energy: 592 meV/atom
- Total magnetization: 0.117 μB/atom
- SG: Cm (8)

Cell and atoms, written as POSCAR:
```
FeWBr2
1.0
-4.3593 1.2115 -2.0234
-4.8615 0.1539 0.9529
-1.8022 6.8038 2.1136
Br Fe W
2 1 1
Direct
0.9340 0.9340 0.1218
0.7970 0.7970 0.6287
0.5464 0.5464 0.3745
0.2226 0.2226 0.3750
```